Entry from Alexandria: an optimized crystal structure of KAg2GeAu (PBE).

## Properties
E_form = -0.024 eV per atom

```
5
Lattice="5.0940 0.0000 0.0000 0.0000 5.0940 0.0000 0.0000 0.0000 4.9937" Properties=species:S:1:pos:R:3 pbc="T T T"
K 0.0000 0.0000 0.0000
Ag 0.0000 2.5470 2.4968
Ag 2.5470 0.0000 2.4968
Ge 2.5470 2.5470 2.4968
Au 2.5470 2.5470 0.0000
```

Entry from Alexandria: an optimized crystal structure of CaMgTcH2 (PBE).

## Properties
ΔE to the lowest computed polymorph = 144 meV/atom

```
5
Lattice="4.7836 0.0000 0.0000 0.0000 3.0380 0.0000 -0.5373 0.0000 5.4275" Properties=species:S:1:pos:R:3 pbc="T T T"
Ca 0.0000 0.0000 0.0000
Mg 1.7514 0.0000 3.0551
Tc 4.2014 1.5190 2.6752
H 0.8201 1.5190 1.6385
H 3.4729 0.0000 1.9038
```

Entry from Alexandria: an optimized crystal structure of LaScGeH (PBE).

## Properties
Electronic total energy = -5.558 eV/atom

```
8
Lattice="4.3534 0.0000 0.0000 0.0000 4.3534 0.0000 0.0000 0.0000 8.4150" Properties=species:S:1:pos:R:3 pbc="T T T"
La 1.0884 1.0884 1.1678
La 3.2651 3.2651 7.2472
Sc 1.0884 3.2651 4.2075
Sc 3.2651 1.0884 4.2075
Ge 1.0884 1.0884 5.9950
Ge 3.2651 3.2651 2.4200
H 1.0884 3.2651 0.0000
H 3.2651 1.0884 0.0000
```

Entry from Alexandria: an optimized crystal structure of MgZnTc2 (PBE).

## Properties
ΔE to the lowest computed polymorph = 73 meV/atom
E_form = 0.021 eV per atom

```
4
Lattice="0.0000 3.0932 3.0932 3.0932 0.0000 3.0932 3.0932 3.0932 0.0000" Properties=species:S:1:pos:R:3 pbc="T T T"
Mg 0.0000 0.0000 0.0000
Zn 1.5466 1.5466 1.5466
Tc 3.0932 3.0932 3.0932
Tc 4.6398 4.6398 4.6398
```

Entry from Alexandria: an optimized crystal structure of CaAlInAg3 (PBE).

## Properties
E_form = -0.089 eV per atom

```
12
Lattice="3.1112 -6.6722 0.0000 3.1112 6.6722 0.0000 0.0000 0.0000 6.5415" Properties=species:S:1:pos:R:3 pbc="T T T"
Ca 3.1112 4.1322 4.9061
Ca 3.1112 -4.1322 1.6354
Al 3.1112 1.0840 4.9061
Al 3.1112 -1.0840 1.6354
In 3.1112 4.6297 1.6354
In 3.1112 -4.6297 4.9061
Ag 1.3908 0.0000 0.0000
Ag 1.3908 0.0000 3.2707
Ag 3.1112 1.8129 1.6354
Ag 3.1112 -1.8129 4.9061
Ag 4.8315 0.0000 0.0000
Ag 4.8315 0.0000 3.2707
```

Entry from Alexandria: an optimized crystal structure of Mg14NbCu (PBE).

## Properties
ΔE to the lowest computed polymorph = 0 meV/atom
E_form = 0.063 eV per atom

```
16
Lattice="6.2565 0.0000 0.0000 -3.1282 5.4183 0.0000 0.0000 0.0000 9.9557" Properties=species:S:1:pos:R:3 pbc="T T T"
Mg 0.0000 0.0000 2.4292
Mg 0.0000 0.0000 7.5265
Mg -1.4889 2.7526 2.5105
Mg -1.4889 2.7526 7.4452
Mg 1.5541 0.8972 4.9779
Mg 1.5921 0.9192 0.0000
Mg 1.4889 2.7526 2.5105
Mg 1.4889 2.7526 7.4452
Mg 0.0000 5.3314 2.5105
Mg 0.0000 5.3314 7.4452
Mg 4.6644 0.9192 0.0000
Mg 3.1282 3.5799 0.0000
Mg 4.7024 0.8972 4.9779
Mg 3.1282 3.6238 4.9779
Nb 0.0000 3.6122 0.0000
Cu 0.0000 3.6122 4.9779
```

Entry from Alexandria: an optimized crystal structure of Pm2HoTm3Bi6 (PBE).

## Properties
E_form = -0.841 eV per atom

```
12
Lattice="9.7732 -2.2442 0.0000 9.7732 2.2442 0.0000 -2.0418 0.0000 8.7354" Properties=species:S:1:pos:R:3 pbc="T T T"
Pm 2.5651 0.0000 2.9054
Pm 14.9396 0.0000 5.8300
Ho 9.7732 0.0000 0.0000
Tm 1.5800 0.0000 7.2824
Tm 8.7523 0.0000 4.3677
Tm 15.9246 0.0000 1.4530
Bi -1.4723 0.0000 6.5536
Bi 4.6308 0.0000 8.0714
Bi 5.7175 0.0000 3.5914
Bi 11.7872 0.0000 5.1440
Bi 12.8739 0.0000 0.6640
Bi 18.9770 0.0000 2.1818
```

Entry from Alexandria: an optimized crystal structure of FeNi14Os (PBE).

## Properties
E_form = 0.021 eV per atom

```
16
Lattice="5.0417 0.0000 0.0000 0.0000 5.0417 0.0000 0.0000 0.0000 7.0330" Properties=species:S:1:pos:R:3 pbc="T T T"
Fe 0.0000 0.0000 0.0000
Ni 0.0000 0.0000 3.5165
Ni 0.0000 2.5209 0.0000
Ni 0.0000 2.5209 3.5165
Ni 1.2574 1.2574 1.7718
Ni 1.2574 1.2574 5.2612
Ni 1.2574 3.7843 1.7718
Ni 1.2574 3.7843 5.2612
Ni 2.5209 0.0000 0.0000
Ni 2.5209 0.0000 3.5165
Ni 2.5209 2.5209 3.5165
Ni 3.7843 1.2574 1.7718
Ni 3.7843 1.2574 5.2612
Ni 3.7843 3.7843 1.7718
Ni 3.7843 3.7843 5.2612
Os 2.5209 2.5209 0.0000
```

Entry from Alexandria: an optimized crystal structure of CaCuSi2 (PBE).

## Properties
E_form (uncorrected) = -7 kJ/mol of formula units

```
4
Lattice="3.1947 0.0000 0.0000 0.0000 3.3816 0.0000 0.0000 0.0000 6.4970" Properties=species:S:1:pos:R:3 pbc="T T T"
Ca 0.0000 0.0000 0.0000
Cu 1.5974 1.6908 2.0922
Si 0.0000 0.0000 3.2216
Si 1.5974 1.6908 4.4635
```

Entry from Alexandria: an optimized crystal structure of Be5AgAu6 (PBE).

## Properties
E_form = -0.063 eV per atom

```
12
Lattice="4.1059 0.0000 0.0000 -1.9977 6.1099 0.0000 -0.0057 -0.5968 6.9919" Properties=species:S:1:pos:R:3 pbc="T T T"
Be 0.0000 0.0000 0.0000
Be 0.0332 3.3649 3.8923
Be 0.0289 4.0938 0.0126
Be 2.0736 1.4193 6.9794
Be 2.0694 2.1482 3.0996
Ag -0.0029 -0.2984 3.4960
Au 0.0199 1.4624 5.7535
Au 0.0164 2.1293 1.8948
Au 0.0502 5.4274 5.5092
Au 2.0524 0.0857 1.4828
Au 2.0862 3.3838 5.0971
Au 2.0827 4.0507 1.2384
```

Entry from Alexandria: an optimized crystal structure of YHfGe3 (PBE).

## Properties
E_form = 0.039 eV per atom

```
5
Lattice="5.0728 0.0000 0.0000 0.0000 5.0728 0.0000 0.0000 0.0000 5.0728" Properties=species:S:1:pos:R:3 pbc="T T T"
Y 0.0000 0.0000 0.0000
Hf 2.5364 2.5364 2.5364
Ge 0.0000 2.5364 2.5364
Ge 2.5364 0.0000 2.5364
Ge 2.5364 2.5364 0.0000
```

Entry from Alexandria: an optimized crystal structure of NdEr3Bi3 (PBE).

## Properties
E_form = -0.625 eV per atom

```
14
Lattice="4.5910 2.6506 6.2630 -4.5910 2.6506 6.2630 0.0000 -5.3012 6.2630" Properties=species:S:1:pos:R:3 pbc="T T T"
Nd 0.0000 0.0000 3.1150
Nd 0.0000 0.0000 15.6740
Er -2.3763 0.0035 7.8752
Er -1.1911 -2.0562 10.9138
Er 1.1851 -2.0596 7.8751
Er -1.1851 2.0596 10.9139
Er 1.1911 2.0562 7.8751
Er 2.3763 -0.0035 10.9139
Bi -1.7802 -3.0521 7.7729
Bi -3.5333 0.0156 11.0161
Bi -1.7531 3.0678 7.7729
Bi 1.7531 -3.0678 11.0161
Bi 3.5333 -0.0156 7.7729
Bi 1.7802 3.0521 11.0161
```

| no. | spin magnetization (μB/atom) |
| --- | --- |
| 1 | 0.00 |
| 2 | 0.00 |
| 3 | 0.06 |
| 4 | 0.00 |
| 5 | 0.00 |
| 6 | 0.00 |
| 7 | 0.00 |
| 8 | 0.64 |
| 9 | 0.00 |
| 10 | 0.00 |
| 11 | 0.00 |
| 12 | 0.00 |